1.
Computed, not measured: a geometry-optimized Er4URu5 structure at the PBE level of DFT.

POSCAR file:
```
Er4URu5
1.0
-4.3796 4.3796 2.7199
4.3796 -4.3796 2.7199
4.3796 4.3796 -2.7199
Er U Ru
4 1 5
Cartesian
2.8215 0.6514 0.0000
3.7281 -1.5581 2.7199
0.6514 5.9376 0.0000
1.5581 3.7281 2.7199
0.0000 0.0000 3.8598
0.0000 0.0000 0.7222
5.2985 2.3822 -0.0600
2.3822 3.4606 -0.0600
1.9974 0.9190 2.6599
-0.9190 1.9974 2.6599
```

Values from the calculation:
ΔE_f ... -187 meV per atom

2.
Computed, not measured: a geometry-optimized Ba2CdNiI structure at the PBE level of DFT.

POSCAR file:
```
Ba2CdNiI
1.0
6.0234 0.0000 0.0000
0.0000 6.0234 0.0000
0.0000 0.0000 5.0363
Ba Cd Ni I
2 1 1 1
Cartesian
0.0000 3.0117 0.0000
3.0117 0.0000 0.0000
0.0000 0.0000 2.5182
0.0000 0.0000 0.0000
3.0117 3.0117 2.5182
```

Values from the calculation:
ΔE_f (raw) ... -522 meV per atom

Across the entries above, spin magnetization takes the values 0.00; 0.00 μB per cell, respectively.
Across the entries above, ρ takes the values 11.24; 5.20 g cm⁻³, respectively.
Across the entries above, E takes the values -0.286; -0.108 hartree per atom, respectively.